1.
Pr7Hg2Ru2 | PBE | relaxed

Computed properties:
**DOS(E_F)**: 12.38 states/eV/cell
**Space-group type**: Imm2 (44)
**ΔE_f**: -2.8 eV per formula unit
**ΔE to the lowest computed polymorph**: 0.000 eV/atom

Structure (POSCAR):
```
Pr7Hg2Ru2
1.0
-1.9839 8.2624 4.9940
1.9839 -8.2624 4.9940
1.9839 8.2624 -4.9940
Pr Hg Ru
7 2 2
Direct
0.0000 0.0000 0.0000
0.0580 0.3779 0.6801
0.0821 0.7331 0.3490
0.3841 0.7331 0.6510
0.4457 0.5767 0.8689
0.6979 0.3779 0.3199
0.7078 0.5767 0.1311
0.3261 0.3261 0.0000
0.7327 0.2327 0.5000
0.3045 0.0634 0.2411
0.8223 0.0634 0.7589
```


2.
Pr8ErTm2 | PBE | relaxed

Computed properties:
**DOS(E_F)**: 17.58 states/eV/cell
**Space-group type**: C2/m (12)
**ΔE_f**: 1.9 eV per formula unit
**ΔE to the lowest computed polymorph**: 0.060 eV/atom

Structure (POSCAR):
```
Pr8ErTm2
1.0
8.4891 -3.4259 0.0000
8.4891 3.4259 0.0000
-1.1849 0.0000 6.6159
Pr Er Tm
8 1 2
Direct
0.0972 0.0972 0.9183
0.1535 0.6745 0.5954
0.2548 0.2548 0.6752
0.3255 0.8465 0.4046
0.6745 0.1535 0.5954
0.7452 0.7452 0.3248
0.8465 0.3255 0.4046
0.9028 0.9028 0.0817
0.5000 0.5000 0.0000
0.3063 0.3063 0.1898
0.6937 0.6937 0.8102
```


3.
Zn2CdCu | PBE | relaxed

Computed properties:
**DOS(E_F)**: 2.38 states/eV/cell
**Space-group type**: I-42d (122)
**ΔE_f**: 0.8 eV per formula unit

Structure (POSCAR):
```
Zn2CdCu
1.0
-3.7426 3.7426 2.5791
3.7426 -3.7426 2.5791
3.7426 3.7426 -2.5791
Zn Cd Cu
4 2 2
Direct
0.0794 0.6250 0.9544
0.3750 0.3294 0.4544
0.6706 0.1250 0.0456
0.8750 0.9206 0.5456
0.2500 0.7500 0.5000
0.5000 0.5000 0.0000
0.0000 0.0000 0.0000
0.7500 0.2500 0.5000
```


4.
MnBr2N | PBE | relaxed

Computed properties:
**DOS(E_F)**: 5.96 states/eV/cell
**Space-group type**: R-3m (166)
**ΔE to the lowest computed polymorph**: 0.467 eV/atom
**Energy relative to the elements, uncorrected**: 4.7 eV per formula unit

Structure (POSCAR):
```
MnBr2N
1.0
1.8727 1.0812 9.2331
-1.8727 1.0812 9.2331
0.0000 -2.1624 9.2331
Mn Br N
1 2 1
Direct
0.0000 0.0000 0.0000
0.3896 0.3896 0.3896
0.6104 0.6104 0.6104
0.5000 0.5000 0.5000
```


5.
Mg2Zn | PBE | relaxed

Computed properties:
**DOS(E_F)**: 0.90 states/eV/cell
**Space-group type**: P6/mmm (191)
**ΔE_f**: 0.3 eV per formula unit

Structure (POSCAR):
```
Mg2Zn
1.0
4.9360 0.0000 0.0000
-2.4680 4.2747 0.0000
0.0000 0.0000 2.8560
Mg Zn
2 1
Direct
0.3333 0.6667 0.0000
0.6667 0.3333 0.0000
0.0000 0.0000 0.5000
```


6.
TiAl3Co4 | PBE | relaxed

Computed properties:
**DOS(E_F)**: 5.15 states/eV/cell
**Space-group type**: I4/mmm (139)
**ΔE_f**: -4.8 eV per formula unit

Structure (POSCAR):
```
TiAl3Co4
1.0
-2.0369 2.0369 5.7773
2.0369 -2.0369 5.7773
2.0369 2.0369 -5.7773
Ti Al Co
1 3 4
Direct
0.0000 0.0000 0.0000
0.2514 0.2514 0.0000
0.5000 0.5000 0.0000
0.7486 0.7486 0.0000
0.1261 0.6261 0.5000
0.3739 0.8739 0.5000
0.6261 0.1261 0.5000
0.8739 0.3739 0.5000
```


7.
CrFeIr3 | PBE | relaxed

Computed properties:
**DOS(E_F)**: 8.23 states/eV/cell
**Space-group type**: Pm-3m (221)
**ΔE_f**: 7.0 eV per formula unit
**ΔE to the lowest computed polymorph**: 1.516 eV/atom

Structure (POSCAR):
```
CrFeIr3
1.0
4.4611 0.0000 0.0000
0.0000 4.4611 0.0000
0.0000 0.0000 4.4611
Cr Fe Ir
1 1 3
Direct
0.0000 0.0000 0.0000
0.5000 0.5000 0.5000
0.0000 0.0000 0.5000
0.0000 0.5000 0.0000
0.5000 0.0000 0.0000
```


8.
CaBe2 | PBE | relaxed

Computed properties:
**DOS(E_F)**: 1.38 states/eV/cell
**Space-group type**: I4/mcm (140)
**ΔE_f**: 0.8 eV per formula unit
**ΔE to the lowest computed polymorph**: 0.075 eV/atom

Structure (POSCAR):
```
CaBe2
1.0
-2.2046 2.2046 4.9094
2.2046 -2.2046 4.9094
2.2046 2.2046 -4.9094
Ca Be
2 4
Direct
0.2500 0.2500 0.0000
0.7500 0.7500 0.0000
0.1635 0.6635 0.8271
0.3365 0.1635 0.5000
0.6635 0.8365 0.5000
0.8365 0.3365 0.1729
```